(1)
{
  "formula": "Pm7Te2Pt2",
  "functional": "PBE-GGA",
  "state": "relaxed",
  "space_group": "Imm2 (44)",
  "e_form_raw_ev_per_atom": -0.98,
  "e_tot_ev_per_atom": -5.675,
  "lattice": [[-2.0196, 8.1576, 4.9401], [2.0196, -8.1576, 4.9401], [2.0196, 8.1576, -4.9401]],
  "species": ["Pm", "Pm", "Pm", "Pm", "Pm", "Pm", "Pm", "Te", "Te", "Pt", "Pt"],
  "fractional_positions": [[0.0000, 0.0000, 0.0000], [0.2884, 0.4162, 0.8722], [0.3021, 0.6199, 0.6822], [0.5440, 0.4162, 0.1278], [0.6197, 0.2638, 0.3559], [0.9079, 0.2638, 0.6441], [0.9377, 0.6199, 0.3178], [0.2611, 0.7611, 0.5000], [0.6654, 0.6654, 0.0000], [0.1628, 0.9246, 0.2383], [0.6863, 0.9246, 0.7617]]
}

=====

(2)
{
  "formula": "Pm5Ni4Pt",
  "functional": "PBE-GGA",
  "state": "relaxed",
  "space_group": "P4/mmm (123)",
  "e_form_kj_per_mol_fu": -402.6,
  "e_tot_ev_per_atom": -5.709,
  "lattice": [[3.4821, 0.0000, 0.0000], [0.0000, 3.4821, 0.0000], [0.0000, 0.0000, 17.6256]],
  "species": ["Pm", "Pm", "Pm", "Pm", "Pm", "Ni", "Ni", "Ni", "Ni", "Pt"],
  "fractional_positions": [[0.0000, 0.0000, 0.0000], [0.0000, 0.0000, 0.1973], [0.0000, 0.0000, 0.3956], [0.0000, 0.0000, 0.6044], [0.0000, 0.0000, 0.8027], [0.5000, 0.5000, 0.0991], [0.5000, 0.5000, 0.2954], [0.5000, 0.5000, 0.7046], [0.5000, 0.5000, 0.9009], [0.5000, 0.5000, 0.5000]]
}

=====

(3)
{
  "formula": "KBa2Hf",
  "functional": "PBE-GGA",
  "state": "relaxed",
  "space_group": "Fm-3m (225)",
  "e_form_kj_per_mol_fu": 309.6,
  "e_tot_ev_per_atom": -2.922,
  "polymorph_energy_mev_per_atom": 0,
  "lattice": [[0.0000, 4.4752, 4.4752], [4.4752, 0.0000, 4.4752], [4.4752, 4.4752, 0.0000]],
  "species": ["K", "Ba", "Ba", "Hf"],
  "fractional_positions": [[0.0000, 0.0000, 0.0000], [0.2500, 0.2500, 0.2500], [0.7500, 0.7500, 0.7500], [0.5000, 0.5000, 0.5000]]
}

=====

(4)
{
  "formula": "SrCrRe2",
  "functional": "PBE-GGA",
  "state": "relaxed",
  "space_group": "Pm (6)",
  "e_form_kj_per_mol_fu": 283.1,
  "e_tot_ev_per_atom": -8.317,
  "polymorph_energy_mev_per_atom": 111,
  "lattice": [[2.8887, 0.0000, 0.0000], [0.0000, 4.0238, 0.0000], [-1.2399, 0.0000, 6.8276]],
  "species": ["Sr", "Cr", "Re", "Re"],
  "fractional_positions": [[0.0000, 0.0000, 0.0000], [0.5166, 0.5000, 0.3358], [0.3929, 0.5000, 0.6527], [0.9168, 0.0000, 0.4878]]
}

=====

(5)
{
  "formula": "KReN2O",
  "functional": "PBE-GGA",
  "state": "relaxed",
  "space_group": "P4/mmm (123)",
  "e_form_raw_ev_per_atom": 3.34,
  "e_tot_ev_per_atom": -3.694,
  "lattice": [[4.0299, 0.0000, 0.0000], [0.0000, 4.0299, 0.0000], [0.0000, 0.0000, 4.1345]],
  "species": ["K", "Re", "N", "N", "O"],
  "fractional_positions": [[0.0000, 0.0000, 0.0000], [0.5000, 0.5000, 0.5000], [0.0000, 0.5000, 0.0000], [0.5000, 0.0000, 0.0000], [0.0000, 0.0000, 0.5000]]
}

=====

(6)
{
  "formula": "LiMgTc",
  "functional": "PBE-GGA",
  "state": "relaxed",
  "space_group": "I4mm (107)",
  "e_form_kj_per_mol_fu": 68.9,
  "e_tot_ev_per_atom": -4.387,
  "polymorph_energy_mev_per_atom": 248,
  "lattice": [[-1.3312, 1.3312, 6.8583], [1.3312, -1.3312, 6.8583], [1.3312, 1.3312, -6.8583]],
  "species": ["Li", "Mg", "Tc"],
  "fractional_positions": [[0.0000, 0.0000, 0.0000], [0.3150, 0.3150, 0.0000], [0.6561, 0.6561, 0.0000]]
}

=====

(7)
{
  "formula": "Y2MoBr",
  "functional": "PBE-GGA",
  "state": "relaxed",
  "space_group": "Pmmm (47)",
  "e_form_raw_ev_per_atom": -0.03,
  "e_tot_ev_per_atom": -6.387,
  "polymorph_energy_mev_per_atom": 306,
  "lattice": [[3.3931, 0.0000, 0.0000], [0.0000, 4.9592, 0.0000], [0.0000, 0.0000, 5.8393]],
  "species": ["Y", "Y", "Mo", "Br"],
  "fractional_positions": [[0.0000, 0.0000, 0.0000], [0.5000, 0.5000, 0.5000], [0.0000, 0.0000, 0.5000], [0.5000, 0.5000, 0.0000]]
}

=====

(8)
{
  "formula": "Zn5Cu2Pd2",
  "functional": "PBE-GGA",
  "state": "relaxed",
  "space_group": "Ima2 (46)",
  "e_form_kj_per_mol_fu": -171.9,
  "e_tot_ev_per_atom": -2.970,
  "lattice": [[-7.9533, 2.2123, 3.6620], [7.9533, -2.2123, 3.6620], [7.9533, 2.2123, -3.6620]],
  "species": ["Zn", "Zn", "Zn", "Zn", "Zn", "Zn", "Zn", "Zn", "Zn", "Zn", "Cu", "Cu", "Cu", "Cu", "Pd", "Pd", "Pd", "Pd"],
  "fractional_positions": [[0.0005, 0.0814, 0.0819], [0.0005, 0.4186, 0.4191], [0.3327, 0.0936, 0.7391], [0.3545, 0.5936, 0.2609], [0.6723, 0.0087, 0.3334], [0.6723, 0.8389, 0.1637], [0.6753, 0.3389, 0.6666], [0.6753, 0.5087, 0.8363], [0.9995, 0.5814, 0.5809], [0.9995, 0.9186, 0.9181], [0.0163, 0.7546, 0.7617], [0.6723, 0.1723, 0.5000], [0.6723, 0.6723, 0.0000], [0.9929, 0.2546, 0.2383], [0.3393, 0.4279, 0.0878], [0.3393, 0.7515, 0.4114], [0.3400, 0.2515, 0.9122], [0.3400, 0.9279, 0.5886]]
}

=====

> What is the formula in the fifth record?

KReN2O